Entry 1:
# Si4WO10

An optimized crystal structure of Si4WO10 (GGA+U, the Alexandria database).

CIF file:
```
data_Si4WO10
_chemical_formula_sum 'Si16 W4 O40'
_symmetry_space_group_name_H-M 'P 4/n c c'
_symmetry_Int_Tables_number 130
_cell_length_a 7.670
_cell_length_b 7.670
_cell_length_c 16.841
_cell_angle_alpha 90.00
_cell_angle_beta 90.00
_cell_angle_gamma 90.00
loop_
_symmetry_equiv_pos_as_xyz
'x,y,z'
'-x,-y,-z'
'-y+1/2,x,z'
'y+1/2,-x,-z'
'-x+1/2,-y+1/2,z'
'x+1/2,y+1/2,-z'
'y,-x+1/2,z'
'-y,x+1/2,-z'
'x+1/2,-y,-z+1/2'
'-x+1/2,y,z+1/2'
'-y,-x,-z+1/2'
'y,x,z+1/2'
'-x,y+1/2,-z+1/2'
'x,-y+1/2,z+1/2'
'y+1/2,x+1/2,-z+1/2'
'-y+1/2,-x+1/2,z+1/2'
loop_
_atom_site_label
_atom_site_type_symbol
_atom_site_fract_x
_atom_site_fract_y
_atom_site_fract_z
_atom_site_occupancy
Si1 Si 0.036 0.056 0.158 1
W1 W 0.250 0.250 0.408 1
O1 O 0.004 0.238 0.641 1
O2 O 0.013 0.513 0.250 1
O3 O 0.058 0.091 0.399 1
```

Properties
* E: -463.720 eV for the cell shown



Entry 2:
# LiMoI2O

An optimized crystal structure of LiMoI2O (GGA+U, the Alexandria database).

CIF file:
```
data_LiMoI2O
_chemical_formula_sum 'Li1 Mo1 I2 O1'
_symmetry_space_group_name_H-M 'P 4/m m m'
_symmetry_Int_Tables_number 123
_symmetry_space_group_name_Hall '-P 4 2'
_cell_length_a 5.491
_cell_length_b 5.491
_cell_length_c 3.708
_cell_angle_alpha 90.00
_cell_angle_beta 90.00
_cell_angle_gamma 90.00
loop_
_atom_site_label
_atom_site_type_symbol
_atom_site_fract_x
_atom_site_fract_y
_atom_site_fract_z
_atom_site_occupancy
Li1 Li 0.000 0.000 0.000 1
Mo1 Mo 0.500 0.500 0.500 1
I1 I 0.000 0.500 0.000 1
O1 O 0.000 0.000 0.500 1
```

Properties
* ΔE to the lowest computed polymorph: 0.8054 eV per atom